Run i
Compound: NaPt3I
Source: the Alexandria database
Functional: PBE
Structure: relaxed

## Properties
* density of states at the Fermi level: 1.395 states/eV/atom

Cell: 4.765 4.765 4.765 Å, 90.00 90.00 90.00°
Space group Pm-3m (No. 221)
Symmetry-distinct sites (fractional):
Na1 0.000 0.000 0.000 [1 per cell]
Pt1 0.000 0.000 0.500 [3 per cell]
I1 0.500 0.500 0.500 [1 per cell]

=====

Run ii
Compound: NaPt3I
Source: the Alexandria database
Functional: PBE
Structure: relaxed

## Properties
* density of states at the Fermi level: 0.040 states/eV/atom

Cell: 5.032 5.032 5.032 Å, 90.00 90.00 90.00°
Space group Pm-3m (No. 221)
Symmetry-distinct sites (fractional):
Na1 0.000 0.000 0.000 [1 per cell]
Pt1 0.000 0.500 0.500 [3 per cell]
I1 0.500 0.500 0.500 [1 per cell]

=====

Which structure loses on stability? run i does.

=====

Run i
Compound: NaSb2PtI
Source: the Alexandria database
Functional: PBE
Structure: relaxed

## Properties
* density of states at the Fermi level: 0.874 states/eV/atom

Cell: 5.377 5.377 5.323 Å, 90.00 90.00 90.00°
Space group P4/mmm (No. 123)
Symmetry-distinct sites (fractional):
Na1 0.000 0.000 0.000 [1 per cell]
Sb1 0.000 0.500 0.000 [2 per cell]
Pt1 0.500 0.500 0.500 [1 per cell]
I1 0.000 0.000 0.500 [1 per cell]

=====

Run ii
Compound: NaSb2PtI
Source: the Alexandria database
Functional: PBE
Structure: relaxed

## Properties
* density of states at the Fermi level: 0.746 states/eV/atom

Cell: 5.244 5.244 6.083 Å, 90.00 90.00 90.00°
Space group P4/mmm (No. 123)
Symmetry-distinct sites (fractional):
Na1 0.000 0.000 0.000 [1 per cell]
Sb1 0.000 0.500 0.500 [2 per cell]
Pt1 0.500 0.500 0.500 [1 per cell]
I1 0.500 0.500 0.000 [1 per cell]

=====

Which structure loses on stability? run i does.

=====

Run i
Compound: NaSbPtI2
Source: the Alexandria database
Functional: PBE
Structure: relaxed

## Properties
* density of states at the Fermi level: 0.634 states/eV/atom

Cell: 5.866 5.866 5.085 Å, 90.00 90.00 90.00°
Space group P4/mmm (No. 123)
Symmetry-distinct sites (fractional):
Na1 0.000 0.000 0.000 [1 per cell]
Sb1 0.500 0.500 0.000 [1 per cell]
Pt1 0.500 0.500 0.500 [1 per cell]
I1 0.000 0.500 0.500 [2 per cell]

=====

Run ii
Compound: NaSbPtI2
Source: the Alexandria database
Functional: PBE
Structure: relaxed

## Properties
* density of states at the Fermi level: 1.607 states/eV/atom

Cell: 5.485 5.485 5.736 Å, 90.00 90.00 90.00°
Space group P4/mmm (No. 123)
Symmetry-distinct sites (fractional):
Na1 0.000 0.000 0.000 [1 per cell]
Sb1 0.000 0.000 0.500 [1 per cell]
Pt1 0.500 0.500 0.500 [1 per cell]
I1 0.000 0.500 0.000 [2 per cell]

=====

Which structure loses on stability? run ii does.

=====

Run i
Compound: NaTePtI2
Source: the Alexandria database
Functional: PBE
Structure: relaxed

## Properties
* density of states at the Fermi level: 0.802 states/eV/atom

Cell: 5.738 5.738 5.240 Å, 90.00 90.00 90.00°
Space group P4/mmm (No. 123)
Symmetry-distinct sites (fractional):
Na1 0.000 0.000 0.000 [1 per cell]
Te1 0.500 0.500 0.000 [1 per cell]
Pt1 0.500 0.500 0.500 [1 per cell]
I1 0.000 0.500 0.500 [2 per cell]

=====

Run ii
Compound: NaTePtI2
Source: the Alexandria database
Functional: PBE
Structure: relaxed

## Properties
* density of states at the Fermi level: 2.206 states/eV/atom

Cell: 5.568 5.568 5.685 Å, 90.00 90.00 90.00°
Space group P4/mmm (No. 123)
Symmetry-distinct sites (fractional):
Na1 0.000 0.000 0.000 [1 per cell]
Te1 0.000 0.000 0.500 [1 per cell]
Pt1 0.500 0.500 0.500 [1 per cell]
I1 0.000 0.500 0.000 [2 per cell]

=====

Which structure loses on stability? run ii does.

=====

Run i
Compound: NaTe2PtI
Source: the Alexandria database
Functional: PBE
Structure: relaxed

## Properties
* density of states at the Fermi level: 1.019 states/eV/atom

Cell: 5.178 5.178 6.452 Å, 90.00 90.00 90.00°
Space group P4/mmm (No. 123)
Symmetry-distinct sites (fractional):
Na1 0.000 0.000 0.000 [1 per cell]
Te1 0.000 0.500 0.500 [2 per cell]
Pt1 0.000 0.000 0.500 [1 per cell]
I1 0.500 0.500 0.000 [1 per cell]

=====

Run ii
Compound: NaTe2PtI
Source: the Alexandria database
Functional: PBE
Structure: relaxed

## Properties
* density of states at the Fermi level: 1.801 states/eV/atom

Cell: 5.450 5.450 5.449 Å, 90.00 90.00 90.00°
Space group P4/mmm (No. 123)
Symmetry-distinct sites (fractional):
Na1 0.000 0.000 0.000 [1 per cell]
Te1 0.000 0.500 0.000 [2 per cell]
Pt1 0.500 0.500 0.500 [1 per cell]
I1 0.000 0.000 0.500 [1 per cell]

=====

Which structure loses on stability? run ii does.

=====

Run i
Compound: Na3PuI6
Source: the Alexandria database
Functional: PBE
Structure: relaxed

## Properties
* density of states at the Fermi level: 1.177 states/eV/atom

Cell: 7.825 8.471 14.223 Å, 90.00 123.02 90.00°
Space group P2_1/c (No. 14)
Symmetry-distinct sites (fractional):
Na1 0.000 0.000 0.000 [2 per cell]
Na2 0.201 0.098 0.743 [4 per cell]
Pu1 0.500 0.000 0.500 [2 per cell]
I1 0.103 0.182 0.424 [4 per cell]
I2 0.255 0.686 0.423 [4 per cell]
I3 0.410 0.062 0.260 [4 per cell]

=====

Run ii
Compound: Na3PuI6
Source: the Alexandria database
Functional: PBE
Structure: relaxed

## Properties
* density of states at the Fermi level: 1.474 states/eV/atom

Cell: 13.257 4.494 13.981 Å, 90.00 107.53 90.00°
Space group P2_1/m (No. 11)
Symmetry-distinct sites (fractional):
Na1 0.033 0.250 0.133 [2 per cell]
Na2 0.365 0.250 0.989 [2 per cell]
Na3 0.411 0.750 0.326 [2 per cell]
Pu1 0.198 0.250 0.540 [2 per cell]
I1 0.046 0.750 0.408 [2 per cell]
I2 0.125 0.250 0.950 [2 per cell]
I3 0.203 0.750 0.705 [2 per cell]
I4 0.240 0.250 0.315 [2 per cell]
I5 0.388 0.750 0.553 [2 per cell]
I6 0.474 0.750 0.134 [2 per cell]

=====

Which structure loses on stability? run ii does.

=====

Run i
Compound: Na2PuI4
Source: the Alexandria database
Functional: PBE
Structure: relaxed

## Properties
* density of states at the Fermi level: 2.779 states/eV/atom

Cell: 6.251 6.251 16.374 Å, 90.00 90.00 90.00°
Space group I4/mmm (No. 139)
Symmetry-distinct sites (fractional):
Na1 0.000 0.000 0.128 [4 per cell]
Pu1 0.000 0.000 0.500 [2 per cell]
I1 0.000 0.000 0.310 [4 per cell]
I2 0.000 0.500 0.000 [4 per cell]

=====

Run ii
Compound: Na2PuI4
Source: the Alexandria database
Functional: PBE
Structure: relaxed

## Properties
* density of states at the Fermi level: 2.384 states/eV/atom

Cell: 16.675 4.588 8.109 Å, 90.00 116.16 90.00°
Space group C2/m (No. 12)
Symmetry-distinct sites (fractional):
Na1 0.227 0.000 0.200 [4 per cell]
Pu1 0.000 0.500 0.500 [2 per cell]
I1 0.118 0.500 0.935 [4 per cell]
I2 0.133 0.000 0.484 [4 per cell]

=====

Which structure loses on stability? run i does.

=====

Run i
Compound: Rb2NaI2
Source: the Alexandria database
Functional: PBE
Structure: relaxed

## Properties
* density of states at the Fermi level: 0.804 states/eV/atom

Cell: 6.960 6.960 13.957 Å, 90.00 90.00 90.00°
Space group I4/mmm (No. 139)
Symmetry-distinct sites (fractional):
Rb1 0.000 0.000 0.185 [4 per cell]
Na1 0.000 0.000 0.500 [2 per cell]
I1 0.000 0.500 0.250 [4 per cell]

=====

Run ii
Compound: Rb2NaI2
Source: the Alexandria database
Functional: PBE
Structure: relaxed

## Properties
* density of states at the Fermi level: 0.376 states/eV/atom

Cell: 10.052 10.052 4.773 Å, 90.00 90.00 90.00°
Space group P4/mbm (No. 127)
Symmetry-distinct sites (fractional):
Rb1 0.149 0.351 0.000 [4 per cell]
Na1 0.000 0.000 0.500 [2 per cell]
I1 0.154 0.654 0.500 [4 per cell]

=====

Which structure loses on stability? run i does.

=====

Run i
Compound: RbNaI2
Source: the Alexandria database
Functional: PBE
Structure: relaxed

## Properties
* density of states at the Fermi level: 0.000 states/eV/atom

Cell: 8.593 8.593 8.593 Å, 90.00 90.00 90.00°
Space group Fm-3m (No. 225)
Symmetry-distinct sites (fractional):
Rb1 0.000 0.000 0.000 [4 per cell]
Na1 0.000 0.000 0.500 [4 per cell]
I1 0.250 0.250 0.250 [8 per cell]

=====

Run ii
Compound: RbNaI2
Source: the Alexandria database
Functional: PBE
Structure: relaxed

## Properties
* density of states at the Fermi level: 0.000 states/eV/atom

Cell: 4.258 4.258 8.645 Å, 90.00 90.00 90.00°
Space group P4/mmm (No. 123)
Symmetry-distinct sites (fractional):
Rb1 0.000 0.000 0.000 [1 per cell]
Na1 0.000 0.000 0.500 [1 per cell]
I1 0.500 0.500 0.268 [2 per cell]

=====

Which structure loses on stability? run i does.

=====

Run i
Compound: RbNaI2
Source: the Alexandria database
Functional: PBE
Structure: relaxed

## Properties
* density of states at the Fermi level: 0.000 states/eV/atom

Cell: 8.791 8.791 10.088 Å, 90.00 90.00 90.00°
Space group I-42d (No. 122)
Symmetry-distinct sites (fractional):
Rb1 0.000 0.000 0.000 [4 per cell]
Na1 0.000 0.000 0.500 [4 per cell]
I1 0.202 0.750 0.625 [8 per cell]

=====

Run ii
Compound: RbNaI2
Source: the Alexandria database
Functional: PBE
Structure: relaxed

## Properties
* density of states at the Fermi level: 0.000 states/eV/atom

Cell: 7.480 5.148 20.410 Å, 90.00 90.00 90.00°
Space group Pnma (No. 62)
Symmetry-distinct sites (fractional):
Rb1 0.248 0.250 0.061 [4 per cell]
Na1 0.203 0.750 0.327 [4 per cell]
I1 0.213 0.250 0.681 [4 per cell]
I2 0.247 0.750 0.923 [4 per cell]

=====

Which structure loses on stability? run i does.

=====

Run i
Compound: RbNaI2
Source: the Alexandria database
Functional: PBE
Structure: relaxed

## Properties
* density of states at the Fermi level: 0.000 states/eV/atom

Cell: 4.8978 4.8978 24.7069 Å, 90.00 90.00 120.00°
Space group R-3m (No. 166, hexagonal axes)
Symmetry-distinct sites (fractional):
Rb1 0.0000 0.0000 0.0000 [3 per cell]
Na1 0.0000 0.0000 0.5000 [3 per cell]
I1 0.0000 0.0000 0.2384 [6 per cell]

=====

Run ii
Compound: RbNaI2
Source: the Alexandria database
Functional: PBE
Structure: relaxed

## Properties
* density of states at the Fermi level: 0.000 states/eV/atom

Cell: 4.8330 4.8330 25.3504 Å, 90.00 90.00 120.00°
Space group R3m (No. 160, hexagonal axes)
Symmetry-distinct sites (fractional):
Rb1 0.0000 0.0000 0.0000 [3 per cell]
Na1 0.0000 0.0000 0.8309 [3 per cell]
I1 0.0000 0.0000 0.2370 [3 per cell]
I2 0.0000 0.0000 0.4276 [3 per cell]

=====

Which structure loses on stability? run ii does.

=====

Run i
Compound: Rb2NaI
Source: the Alexandria database
Functional: PBE
Structure: relaxed

## Properties
* density of states at the Fermi level: 0.000 states/eV/atom

Cell: 9.496 9.496 9.496 Å, 90.00 90.00 90.00°
Space group Fm-3m (No. 225)
Symmetry-distinct sites (fractional):
Rb1 0.250 0.250 0.250 [8 per cell]
Na1 0.000 0.000 0.000 [4 per cell]
I1 0.000 0.000 0.500 [4 per cell]

=====

Run ii
Compound: Rb2NaI
Source: the Alexandria database
Functional: PBE
Structure: relaxed

## Properties
* density of states at the Fermi level: 0.424 states/eV/atom

Cell: 4.619 4.619 9.846 Å, 90.00 90.00 90.00°
Space group P4/mmm (No. 123)
Symmetry-distinct sites (fractional):
Rb1 0.000 0.000 0.218 [2 per cell]
Na1 0.500 0.500 0.500 [1 per cell]
I1 0.500 0.500 0.000 [1 per cell]

=====

Run iii
Compound: Rb2NaI
Source: the Alexandria database
Functional: PBE
Structure: relaxed

## Properties
* density of states at the Fermi level: 0.009 states/eV/atom

Cell: 10.222 10.222 10.602 Å, 90.00 90.00 90.00°
Space group I-42d (No. 122)
Symmetry-distinct sites (fractional):
Rb1 0.207 0.250 0.125 [8 per cell]
Na1 0.000 0.000 0.500 [4 per cell]
I1 0.000 0.000 0.000 [4 per cell]

=====

Which structure loses on stability? run i does.